1.
First-principles (GGA-PBE) data for an optimized crystal structure of BaZnPd3, as listed in Alexandria.

```
5
Lattice="4.838 0.000 0.000 0.000 4.838 0.000 0.000 0.000 4.838" Properties=species:S:1:pos:R:3 pbc="T T T"
Ba 0.000 0.000 0.000
Zn 2.419 2.419 2.419
Pd 0.000 2.419 2.419
Pd 2.419 0.000 2.419
Pd 2.419 2.419 0.000
```

symmetry: Pm-3m (221)
ΔE_f: -277.0 meV per atom


2.
First-principles (GGA-PBE) data for an optimized crystal structure of La2ZnBiN, as listed in Alexandria.

```
5
Lattice="5.207 0.000 0.000 0.000 5.207 0.000 0.000 0.000 4.384" Properties=species:S:1:pos:R:3 pbc="T T T"
La 0.000 2.603 0.000
La 2.603 0.000 0.000
Zn 0.000 0.000 2.192
Bi 2.603 2.603 2.192
N 0.000 0.000 0.000
```

formation energy without anion corrections: -0.7395 eV per atom
symmetry: P4/mmm (123)